First-principles (PBE) data for a relaxed structure of Rb2BiS2, as listed in the Alexandria database.

a b c (Å): 7.9752 7.9752 4.9017
angles (deg): 90.00 90.00 90.00
Fractional coordinates of all 10 atoms:
Rb 0.1410 0.3590 0.0000
Rb 0.3590 0.8590 0.0000
Rb 0.6410 0.1410 0.0000
Rb 0.8590 0.6410 0.0000
Bi 0.0000 0.0000 0.5000
Bi 0.5000 0.5000 0.5000
S 0.1788 0.6788 0.5000
S 0.3212 0.1788 0.5000
S 0.6788 0.8212 0.5000
S 0.8212 0.3212 0.5000

- Uncorrected energy: -3.459 eV/atom